A relaxed Sr2Pt7 crystal, computed with PBE.

```
data_Sr2Pt7
_chemical_formula_sum 'Sr12 Pt42'
_cell_length_a 5.5306
_cell_length_b 5.5306
_cell_length_c 39.8917
_cell_angle_alpha 90.00
_cell_angle_beta 90.00
_cell_angle_gamma 120.00
_symmetry_space_group_name_H-M 'R -3 m'
_symmetry_Int_Tables_number 166
_symmetry_space_group_name_Hall '-R 3 2"'
loop_
_atom_site_label
_atom_site_type_symbol
_atom_site_fract_x
_atom_site_fract_y
_atom_site_fract_z
_atom_site_occupancy
Sr1 Sr 0.0000 0.0000 0.0512 1
Sr2 Sr 0.0000 0.0000 0.1486 1
Pt1 Pt 0.0000 0.0000 0.2779 1
Pt2 Pt 0.0000 0.0000 0.3877 1
Pt3 Pt 0.0000 0.0000 0.5000 1
Pt4 Pt 0.0000 0.5000 0.0000 1
Pt5 Pt 0.0017 0.5008 0.8898 1
```

Output
The value obtained for the formation energy from the elements is -663 meV/atom. Its magnetic moment is 0.0 μB/f.u. The calculated total energy comes out at -5.735 eV per atom.